Entry i
Material: Pa2Ga3Au2
Method: DFT, PBE
State: optimized geometry

Lattice parameters (Å, degrees): 4.346 7.024 9.722 90.00 102.92 90.00
Fractional positions:
Pa  0.845  0.750  0.691
Pa  0.049  0.750  0.098
Pa  0.155  0.250  0.309
Pa  0.951  0.250  0.902
Au  0.316  0.049  0.632
Au  0.316  0.451  0.632
Au  0.684  0.549  0.368
Au  0.684  0.951  0.368
Ga  0.443  0.925  0.886
Ga  0.557  0.425  0.114
Ga  0.778  0.250  0.556
Ga  0.443  0.575  0.886
Ga  0.557  0.075  0.114
Ga  0.222  0.750  0.444

## Properties
SG   Cmcm, No. 63

***

Entry ii
Material: Pa2Ga3Au2
Method: DFT, PBE
State: optimized geometry

Lattice parameters (Å, degrees): 4.458 5.553 6.634 106.09 90.00 113.67
Fractional positions:
Au  0.839  0.678  0.754
Au  0.161  0.322  0.246
Ga  0.403  0.805  0.574
Ga  0.500  0.000  0.000
Ga  0.597  0.195  0.426
Pa  0.854  0.707  0.226
Pa  0.146  0.293  0.774

## Properties
SG   C2/m, No. 12

***

entry ii comes first in stability; the runner-up is 0.016 eV/atom higher.

***

Entry i
Material: Pa2Ga2Au3
Method: DFT, PBE
State: optimized geometry

Lattice parameters (Å, degrees): 3.112 4.151 11.296 100.59 90.00 90.00
Fractional positions:
Pa  0.000  0.853  0.706
Pa  0.000  0.147  0.294
Au  0.500  0.433  0.866
Au  0.000  0.000  0.000
Au  0.500  0.567  0.134
Ga  0.500  0.718  0.437
Ga  0.500  0.282  0.563

## Properties
SG   Cmmm, No. 65

***

Entry ii
Material: Pa2Ga2Au3
Method: DFT, PBE
State: optimized geometry

Lattice parameters (Å, degrees): 4.289 7.083 10.009 90.00 102.37 90.00
Fractional positions:
Au  0.566  0.444  0.131
Au  0.434  0.944  0.869
Au  0.434  0.556  0.869
Au  0.566  0.056  0.131
Au  0.778  0.250  0.556
Au  0.222  0.750  0.444
Pa  0.155  0.250  0.311
Pa  0.954  0.250  0.907
Pa  0.046  0.750  0.093
Pa  0.845  0.750  0.689
Ga  0.690  0.555  0.380
Ga  0.310  0.055  0.620
Ga  0.690  0.945  0.380
Ga  0.310  0.445  0.620

## Properties
SG   Cmcm, No. 63

***

entry ii comes first in stability; the runner-up is 0.046 eV/atom higher.